(1)
# KTiMoBr2 (meta-GGA SCAN, PBEsol geometry)
# Formation energy from raw total energies   461 kJ/mol of formula units
data_KTiMoBr2
_symmetry_space_group_name_H-M 'P 4/m m m'
_symmetry_Int_Tables_number 123
_symmetry_space_group_name_Hall '-P 4 2'
_cell_length_a 5.651
_cell_length_b 5.651
_cell_length_c 5.860
_cell_angle_alpha 90.00
_cell_angle_beta 90.00
_cell_angle_gamma 90.00
loop_
_atom_site_label
_atom_site_type_symbol
_atom_site_fract_x
_atom_site_fract_y
_atom_site_fract_z
K1 K 0.000 0.000 0.000
Ti1 Ti 0.500 0.500 0.500
Mo1 Mo 0.000 0.000 0.500
Br1 Br 0.000 0.500 0.000


(2)
# KBr3N (meta-GGA SCAN, PBEsol geometry)
# Formation energy from raw total energies   346 kJ/mol of formula units
data_KBr3N
_symmetry_space_group_name_H-M 'P m -3 m'
_symmetry_Int_Tables_number 221
_symmetry_space_group_name_Hall '-P 4 2 3'
_cell_length_a 6.265
_cell_length_b 6.265
_cell_length_c 6.265
_cell_angle_alpha 90.00
_cell_angle_beta 90.00
_cell_angle_gamma 90.00
loop_
_atom_site_label
_atom_site_type_symbol
_atom_site_fract_x
_atom_site_fract_y
_atom_site_fract_z
K1 K 0.000 0.000 0.000
Br1 Br 0.000 0.000 0.500
N1 N 0.500 0.500 0.500


(3)
# KRh2BrN (meta-GGA SCAN, PBEsol geometry)
# Formation energy from raw total energies   23 kJ/mol of formula units
data_KRh2BrN
_symmetry_space_group_name_H-M 'P 4/m m m'
_symmetry_Int_Tables_number 123
_symmetry_space_group_name_Hall '-P 4 2'
_cell_length_a 3.922
_cell_length_b 3.922
_cell_length_c 6.815
_cell_angle_alpha 90.00
_cell_angle_beta 90.00
_cell_angle_gamma 90.00
loop_
_atom_site_label
_atom_site_type_symbol
_atom_site_fract_x
_atom_site_fract_y
_atom_site_fract_z
K1 K 0.000 0.000 0.000
Rh1 Rh 0.000 0.500 0.500
Br1 Br 0.500 0.500 0.000
N1 N 0.500 0.500 0.500